# PBE Ge2Te2I, relaxed
data_Ge2Te2I
_space_group_name_H-M_alt 'P 1'
_space_group_IT_number 1
_space_group_name_Hall 'P 1'
_cell_length_a 4.906
_cell_length_b 4.906
_cell_length_c 12.742
_cell_angle_alpha 90.00
_cell_angle_beta 90.00
_cell_angle_gamma 90.00
loop_
_atom_site_label
_atom_site_fract_x
_atom_site_fract_y
_atom_site_fract_z
_atom_site_occupancy
Ge1 0.000 0.000 0.125 1
Ge2 0.000 0.000 0.875 1
Ge3 0.500 0.500 0.375 1
Ge4 0.500 0.500 0.625 1
Te1 0.000 0.500 0.250 1
Te2 0.000 0.500 0.750 1
Te3 0.500 0.000 0.250 1
Te4 0.500 0.000 0.750 1
I1 0.000 0.000 0.500 1
I2 0.500 0.500 0.000 1
# SG	No. 139
# total DFT energy (no corrections)	-33.5	eV/cell
# polymorph energy (0 for the lowest one)	0.0955	eV per atom
# DOS at the Fermi energy	1.8	states/eV/f.u.
# ΔE_f (raw)	28	kJ/mol of formula units